La2PuH8 | PBE | relaxed

```
La2PuH8
1.0
-1.327 3.187 -1.757
-2.290 -3.103 -3.899
-3.056 -0.355 5.935
H La Pu
8 2 1
Direct
0.000 0.254 0.000
0.838 0.838 0.676
0.162 0.162 0.324
0.655 0.899 0.310
0.000 0.746 0.000
0.345 0.589 0.690
0.345 0.101 0.690
0.655 0.411 0.310
0.170 0.670 0.340
0.830 0.330 0.660
0.500 0.000 0.000
```

## Properties
Its raw total energy is -56.87 eV for the cell shown. The space group is No. 71. The density of states at the Fermi level is 8.651 states/eV/f.u.

=====

HfPaBe | PBE | relaxed

```
HfPaBe
1.0
3.053 0.000 0.000
0.000 3.053 0.000
-1.526 -1.526 6.126
Be Hf Pa
1 1 1
Direct
0.675 0.675 0.349
0.309 0.309 0.617
0.017 0.017 0.034
```

## Properties
The energy above the most stable polymorph in this dataset comes out at 0.115 eV per atom. The space group is No. 107. The density of states at the Fermi level is 5.071 states/eV/f.u.

=====

Sb2IF2 | PBE | relaxed

```
Sb2IF2
1.0
6.058 0.000 0.000
0.000 6.058 0.000
-3.029 -3.029 8.062
Sb I F
4 2 4
Direct
0.973 0.233 0.467
0.483 0.244 0.967
0.494 0.233 0.467
0.483 0.723 0.967
0.997 0.997 0.994
0.247 0.747 0.494
0.608 0.341 0.217
0.125 0.358 0.717
0.591 0.358 0.717
0.608 0.875 0.217
```

## Properties
The energy above the most stable polymorph in this dataset comes out at 0.000 eV per atom. The formation energy from raw total energies comes out at -0.986 eV per atom. The space group is No. 109. The density of states at the Fermi level is 2.418 states/eV/f.u.

=====

BaAuCl | PBE | relaxed

```
BaAuCl
1.0
5.318 0.000 0.000
2.659 4.605 0.000
2.659 1.535 4.342
Au Cl Ba
1 1 1
Direct
0.750 0.750 0.750
0.500 0.500 0.500
0.000 0.000 0.000
```

## Properties
The energy above the most stable polymorph in this dataset comes out at 0.428 eV per atom. The formation energy from raw total energies comes out at -1.147 eV per atom. The space group is No. 216. The density of states at the Fermi level is 0.000 states/eV/f.u.

=====

Li8InO6 | PBE | relaxed

```
Li8InO6
1.0
-0.195 4.324 -3.501
-3.015 -0.332 -4.668
-5.242 3.216 -0.161
Li O In
8 6 1
Direct
0.772 0.105 0.639
0.228 0.895 0.361
0.895 0.515 0.361
0.344 0.344 0.968
0.105 0.485 0.639
0.515 0.228 0.361
0.656 0.656 0.032
0.485 0.772 0.639
0.759 0.397 0.750
0.397 0.095 0.750
0.603 0.905 0.250
0.241 0.603 0.250
0.905 0.241 0.250
0.095 0.759 0.750
0.000 0.000 0.000
```

## Properties
The formation energy from raw total energies comes out at -1.696 eV per atom. The space group is No. 148. The density of states at the Fermi level is 10.473 states/eV/f.u.

=====

LaHoGa2Ir2 | PBE | relaxed

```
LaHoGa2Ir2
1.0
-3.227 -1.431 -2.654
3.222 -2.754 1.242
-3.994 -1.997 5.932
Ir Ga La Ho
2 2 1 1
Direct
0.333 0.667 0.723
0.667 0.333 0.277
0.333 0.667 0.280
0.667 0.333 0.720
0.000 0.000 0.000
0.000 0.000 0.500
```

## Properties
Its raw total energy is -38.01 eV for the cell shown. The space group is No. 164. The density of states at the Fermi level is 4.584 states/eV/f.u.

=====

Sc3AsSe | PBE | relaxed

```
Sc3AsSe
1.0
-2.477 -2.822 -0.019
5.367 -4.694 -2.584
1.530 -1.393 7.439
As Sc Se
2 6 2
Direct
0.250 0.366 0.256
0.750 0.634 0.744
0.250 0.387 0.627
0.250 0.659 0.011
0.250 0.881 0.657
0.750 0.613 0.373
0.750 0.341 0.989
0.750 0.119 0.343
0.250 0.862 0.310
0.750 0.138 0.690
```

## Properties
The energy above the most stable polymorph in this dataset comes out at 0.000 eV per atom. The formation energy from raw total energies comes out at -1.193 eV per atom. The space group is No. 11. The density of states at the Fermi level is 2.873 states/eV/f.u.

=====

Rb2BaNiCl8 | PBE | relaxed

```
Rb2BaNiCl8
1.0
-5.730 3.257 -2.152
0.493 -6.892 -0.576
-3.248 -0.847 7.363
Cl Ni Rb Ba
8 1 2 1
Direct
0.333 0.667 0.461
0.697 0.848 0.169
0.303 0.152 0.831
0.848 0.697 0.831
0.848 0.152 0.831
0.152 0.848 0.169
0.152 0.303 0.169
0.667 0.333 0.539
0.000 0.000 0.000
0.333 0.667 0.848
0.667 0.333 0.152
0.000 0.000 0.500
```

## Properties
The formation energy from raw total energies comes out at -1.397 eV per atom. The space group is No. 164.